# 1
YCu2Ru2 | PBE | relaxed

Cell lengths 3.739, 3.739, 11.772 Å; angles 90.00, 90.00, 90.00 degrees
Space group I4/mmm (No. 139)
Unique sites:
Y 0.000 0.000 0.000 [2 per cell]
Cu 0.000 0.000 0.399 [4 per cell]
Ru 0.000 0.500 0.250 [4 per cell]

* DOS at the Fermi energy: 14.6 states/eV per cell
* energy of formation from the pure elements: 0.073 eV/atom
* offset from the most stable computed form: 0 kJ/mol of formula units

***

# 2
Tb2Si4Pt3Au | PBE | relaxed

Cell lengths 4.237, 4.237, 9.893 Å; angles 90.00, 90.00, 90.00 degrees
Space group P-4m2 (No. 115)
Unique sites:
Tb 0.000 0.500 0.245 [2 per cell]
Si 0.000 0.000 0.000 [1 per cell]
Si 0.000 0.500 0.640 [2 per cell]
Si 0.500 0.500 0.000 [1 per cell]
Pt 0.000 0.500 0.880 [2 per cell]
Pt 0.500 0.500 0.500 [1 per cell]
Au 0.000 0.000 0.500 [1 per cell]

* ΔE_f (raw): -952 kJ/mol of formula units
* DOS at the Fermi energy: 4.0 states/eV per cell

***

Number 1: DFT total energy -6.569 eV/atom. Number 2: DFT total energy -6.222 eV/atom.